Compound: MnGeO
Source: Alexandria
Functional: PBE with a Hubbard U
Structure: optimized geometry

Structure (CIF):
```
data_MnGeO
_symmetry_space_group_name_H-M 'P 1'
_symmetry_Int_Tables_number 1
_cell_length_a 2.963
_cell_length_b 5.281
_cell_length_c 7.370
_cell_angle_alpha 72.89
_cell_angle_beta 78.93
_cell_angle_gamma 74.54
loop_
_symmetry_equiv_pos_as_xyz
'x,y,z'
loop_
_atom_site_label
_atom_site_type_symbol
_atom_site_fract_x
_atom_site_fract_y
_atom_site_fract_z
Mn1 Mn 0.000 0.000 0.000
Mn2 Mn 0.082 0.247 0.581
Ge1 Ge 0.403 0.752 0.455
Ge2 Ge 0.697 0.344 0.243
O1 O 0.530 0.754 0.183
O2 O 0.546 0.116 0.787
```

Properties
N(E_F) ... 0.1620 states/eV/atom
SG ... P1
Electronic total energy ... -6.41 eV/atom